A relaxed structure of BaIn2Ru2, computed with PBE.

Results
The magnetic moment is 1.248 μB/f.u. The value obtained for the formation energy is 185 meV/atom.

Lattice parameters (Å, degrees): 4.617 4.617 11.573 90.00 90.00 90.00
Space group I4/mmm (No. 139)
Unique sites:
Ba  0.000  0.000  0.000 [2 per cell]
In  0.000  0.000  0.367 [4 per cell]
Ru  0.000  0.500  0.250 [4 per cell]

=====

A relaxed structure of BaIn3Ru, computed with PBE.

Results
The energy above the most stable polymorph in this dataset comes out at 0.0 meV per atom. The magnetic moment is 0.000 μB/f.u. The value obtained for the formation energy is -280 meV/atom.

Lattice parameters (Å, degrees): 5.223 5.223 5.223 90.00 90.00 90.00
Space group Pm-3m (No. 221)
Unique sites:
Ba  0.000  0.000  0.000 [1 per cell]
In  0.000  0.500  0.500 [3 per cell]
Ru  0.500  0.500  0.500 [1 per cell]

=====

A relaxed structure of Ba2InRu, computed with PBE.

Results
The magnetic moment is 0.000 μB/f.u. The value obtained for the formation energy is 82 meV/atom.

Lattice parameters (Å, degrees): 4.633 4.928 12.525 90.00 90.00 90.00
Space group Amm2 (No. 38)
Unique sites:
Ba  0.000  0.000  0.000 [2 per cell]
Ba  0.500  0.000  0.279 [2 per cell]
In  0.000  0.000  0.699 [2 per cell]
Ru  0.500  0.000  0.590 [2 per cell]

=====

A relaxed structure of Ba2InRu, computed with PBE.

Results
The magnetic moment is 0.001 μB/f.u. The value obtained for the formation energy is 438 meV/atom.

Lattice parameters (Å, degrees): 3.9685 3.9685 30.2756 90.00 90.00 120.00
Space group R-3m (No. 166, hexagonal axes)
Unique sites:
Ba  0.0000  0.0000  0.2354 [6 per cell]
In  0.0000  0.0000  0.0000 [3 per cell]
Ru  0.0000  0.0000  0.5000 [3 per cell]

=====

A relaxed structure of BaIn3Ru, computed with PBE.

Results
The energy above the most stable polymorph in this dataset comes out at 2043.4 meV per atom. The magnetic moment is 1.864 μB/f.u. The value obtained for the formation energy is 1763 meV/atom.

Lattice parameters (Å, degrees): 6.230 6.230 6.230 90.00 90.00 90.00
Space group Pm-3m (No. 221)
Unique sites:
Ba  0.000  0.000  0.000 [1 per cell]
In  0.000  0.000  0.500 [3 per cell]
Ru  0.500  0.500  0.500 [1 per cell]

=====

A relaxed structure of BaIn2Ru2, computed with PBE.

Results
The magnetic moment is 0.000 μB/f.u. The value obtained for the formation energy is 42 meV/atom.

Lattice parameters (Å, degrees): 4.739 4.739 10.657 90.00 90.00 90.00
Space group I4/mmm (No. 139)
Unique sites:
Ba  0.000  0.000  0.000 [2 per cell]
In  0.000  0.500  0.250 [4 per cell]
Ru  0.000  0.000  0.389 [4 per cell]

=====

A relaxed structure of Ba2InRu, computed with PBE.

Results
The magnetic moment is 0.000 μB/f.u. The value obtained for the formation energy is 140 meV/atom.

Lattice parameters (Å, degrees): 3.877 5.703 11.607 90.00 90.00 90.00
Space group Imm2 (No. 44)
Unique sites:
Ba  0.000  0.000  0.000 [2 per cell]
Ba  0.000  0.500  0.189 [2 per cell]
In  0.000  0.500  0.799 [2 per cell]
Ru  0.000  0.000  0.458 [2 per cell]

=====

A relaxed structure of BaInRu4, computed with PBE.

Results
The magnetic moment is 2.518 μB/f.u. The value obtained for the formation energy is 561 meV/atom.

Lattice parameters (Å, degrees): 7.714 7.714 7.714 90.00 90.00 90.00
Space group F-43m (No. 216)
Unique sites:
Ba  0.000  0.000  0.000 [4 per cell]
In  0.250  0.250  0.750 [4 per cell]
Ru  0.123  0.123  0.377 [16 per cell]

=====

A relaxed structure of BaIn2SnRu, computed with PBE.

Results
The magnetic moment is 0.000 μB/f.u. The value obtained for the formation energy is -268 meV/atom.

Lattice parameters (Å, degrees): 5.221 5.221 5.183 90.00 90.00 90.00
Space group P4/mmm (No. 123)
Unique sites:
Ba  0.000  0.000  0.000 [1 per cell]
In  0.000  0.500  0.500 [2 per cell]
Sn  0.500  0.500  0.000 [1 per cell]
Ru  0.500  0.500  0.500 [1 per cell]

=====

A relaxed structure of Ba2TaInRu, computed with PBE.

Results
The magnetic moment is 0.000 μB/f.u. The value obtained for the formation energy is 768 meV/atom.

Lattice parameters (Å, degrees): 6.437 6.437 4.624 90.00 90.00 90.00
Space group P4/mmm (No. 123)
Unique sites:
Ba  0.000  0.500  0.000 [2 per cell]
Ta  0.000  0.000  0.000 [1 per cell]
In  0.500  0.500  0.500 [1 per cell]
Ru  0.000  0.000  0.500 [1 per cell]

=====

A relaxed structure of BaTlIn2Ru, computed with PBE.

Results
The magnetic moment is 0.000 μB/f.u. The value obtained for the formation energy is -197 meV/atom.

Lattice parameters (Å, degrees): 5.225 5.225 5.329 90.00 90.00 90.00
Space group P4/mmm (No. 123)
Unique sites:
Ba  0.000  0.000  0.000 [1 per cell]
Tl  0.500  0.500  0.000 [1 per cell]
In  0.000  0.500  0.500 [2 per cell]
Ru  0.500  0.500  0.500 [1 per cell]

=====

A relaxed structure of BaY2InRu, computed with PBE.

Results
The magnetic moment is 0.000 μB/f.u. The value obtained for the formation energy is -218 meV/atom.

Lattice parameters (Å, degrees): 5.365 5.365 5.459 90.00 90.00 90.00
Space group P4/mmm (No. 123)
Unique sites:
Ba  0.000  0.000  0.000 [1 per cell]
Y  0.000  0.500  0.500 [2 per cell]
In  0.500  0.500  0.000 [1 per cell]
Ru  0.500  0.500  0.500 [1 per cell]

=====

A relaxed structure of BaZn2InRu, computed with PBE.

Results
The energy above the most stable polymorph in this dataset comes out at 1212.5 meV per atom. The magnetic moment is 2.311 μB/f.u. The value obtained for the formation energy is 1033 meV/atom.

Lattice parameters (Å, degrees): 5.024 5.024 6.537 90.00 90.00 90.00
Space group P4/mmm (No. 123)
Unique sites:
Ba  0.000  0.000  0.000 [1 per cell]
Zn  0.000  0.500  0.500 [2 per cell]
In  0.000  0.000  0.500 [1 per cell]
Ru  0.500  0.500  0.000 [1 per cell]

=====

A relaxed structure of BaZn2InRu, computed with PBE.

Results
The energy above the most stable polymorph in this dataset comes out at 0.0 meV per atom. The magnetic moment is 0.000 μB/f.u. The value obtained for the formation energy is -180 meV/atom.

Lattice parameters (Å, degrees): 4.992 4.992 5.139 90.00 90.00 90.00
Space group P4/mmm (No. 123)
Unique sites:
Ba  0.000  0.000  0.000 [1 per cell]
Zn  0.000  0.500  0.500 [2 per cell]
In  0.500  0.500  0.000 [1 per cell]
Ru  0.500  0.500  0.500 [1 per cell]

=====

A relaxed structure of BaZnIn2Ru, computed with PBE.

Results
The magnetic moment is 0.000 μB/f.u. The value obtained for the formation energy is -233 meV/atom.

Lattice parameters (Å, degrees): 5.182 5.182 5.053 90.00 90.00 90.00
Space group P4/mmm (No. 123)
Unique sites:
Ba  0.000  0.000  0.000 [1 per cell]
Zn  0.500  0.500  0.000 [1 per cell]
In  0.000  0.500  0.500 [2 per cell]
Ru  0.500  0.500  0.500 [1 per cell]

=====

A relaxed structure of BaIn2S4, computed with PBE.

Results
The magnetic moment is 0.000 μB/f.u. The value obtained for the raw formation energy is -1.0858 eV per atom.

Lattice parameters (Å, degrees): 13.312 22.023 22.294 90.00 90.00 90.00
Space group Fddd (No. 70, origin choice 2)
Unique sites:
Ba  0.125  0.125  0.125 [8 per cell]
Ba  0.125  0.125  0.373 [16 per cell]
Ba  0.125  0.125  0.625 [8 per cell]
In  0.090  0.303  0.250 [32 per cell]
In  0.125  0.264  0.499 [32 per cell]
S  0.001  0.000  0.584 [32 per cell]
S  0.001  0.000  0.916 [32 per cell]
S  0.001  0.345  0.499 [32 per cell]
S  0.018  0.081  0.751 [32 per cell]

=====

A relaxed structure of Ba4InS5, computed with PBE.

Results
The magnetic moment is 0.000 μB/f.u. The value obtained for the raw formation energy is -1.6872 eV per atom.

Lattice parameters (Å, degrees): 10.024 10.024 6.397 90.00 90.00 90.00
Space group I4 (No. 79)
Unique sites:
Ba  0.101  0.702  0.000 [8 per cell]
In  0.000  0.000  0.527 [2 per cell]
S  0.000  0.000  0.939 [2 per cell]
S  0.096  0.708  0.499 [8 per cell]

=====

A relaxed structure of Ba6In2S, computed with PBE.

Results
The magnetic moment is 1.095 μB/f.u. The value obtained for the raw formation energy is -0.6279 eV per atom.

Lattice parameters (Å, degrees): 8.074 8.976 14.293 90.00 124.00 90.00
Space group P2_1/c (No. 14)
Unique sites:
Ba  0.122  0.182  0.439 [4 per cell]
Ba  0.270  0.692  0.443 [4 per cell]
Ba  0.365  0.033  0.250 [4 per cell]
In  0.217  0.093  0.751 [4 per cell]
S  0.500  0.000  0.500 [2 per cell]

=====

A relaxed structure of Ba5InS8, computed with PBE.

Results
The magnetic moment is 3.078 μB/f.u. The value obtained for the raw formation energy is -1.3415 eV per atom.

Lattice parameters (Å, degrees): 9.024 9.024 10.362 90.00 90.00 90.00
Space group I-4 (No. 82)
Unique sites:
Ba  0.000  0.000  0.000 [2 per cell]
Ba  0.130  0.258  0.382 [8 per cell]
In  0.000  0.500  0.750 [2 per cell]
S  0.073  0.228  0.698 [8 per cell]
S  0.104  0.312  0.081 [8 per cell]

=====

A relaxed structure of BaIn2S4, computed with PBE.

Results
The magnetic moment is 0.000 μB/f.u. The value obtained for the raw formation energy is -1.0695 eV per atom.

Lattice parameters (Å, degrees): 6.633 11.049 11.201 90.00 90.00 90.00
Space group Cccm (No. 66)
Unique sites:
Ba  0.000  0.000  0.250 [4 per cell]
In  0.002  0.272  0.000 [8 per cell]
S  0.221  0.082  0.500 [8 per cell]
S  0.250  0.250  0.168 [8 per cell]